This record from the Alexandria database describes a geometry-optimized PrSm5Te6 structure. The functional is PBE-GGA.

Cell and atoms, written as POSCAR:
```
PrSm5Te6
1.0
-5.779 -2.159 -4.624
2.785 -4.247 -5.811
0.544 -7.683 0.750
Sm Te Pr
5 6 1
direct
0.500 0.839 0.323 Sm
0.500 0.500 0.000 Sm
0.000 0.334 0.332 Sm
0.000 0.666 0.668 Sm
0.500 0.161 0.677 Sm
0.254 0.916 0.661 Te
0.751 0.745 0.000 Te
0.746 0.423 0.661 Te
0.254 0.577 0.339 Te
0.249 0.255 0.000 Te
0.746 0.084 0.339 Te
0.000 0.000 0.000 Pr
```

Calculated values
For the volume, the calculation gives 31.334 Å³ per atom. As for the symmetry: No. 12. The uncorrected formation energy is -1.39 eV/atom.